Entry 1:
Ba2AgCl2O2 | Alexandria via LeMat-Bulk | GGA-PBE | relaxed; crystal system = tetragonal; total DFT energy (no corrections) = -4.83 eV per atom
1.0
4.3502 0.0000 0.0000
0.0000 4.3502 0.0000
-2.1751 -2.1751 8.2467
Ba Ag Cl O
2 1 2 2
Direct
0.3884 0.3884 0.7769
0.6116 0.6116 0.2231
0.0000 0.0000 0.0000
0.1851 0.1851 0.3703
0.8149 0.8149 0.6297
0.0000 0.5000 0.0000
0.5000 0.0000 0.0000

Entry 2:
BaAg4ClO2 | Alexandria via LeMat-Bulk | GGA-PBE | relaxed; crystal system = tetragonal; total DFT energy (no corrections) = -3.61 eV per atom
1.0
-0.6584 2.1729 3.1540
-3.7110 0.4298 -1.0707
-2.5433 -8.5713 5.3740
Ba Ag Cl O
1 4 1 2
Direct
0.0000 0.0000 0.5000
0.0000 0.5000 0.2122
0.5000 0.0000 0.7878
0.5000 0.0000 0.2122
0.0000 0.5000 0.7878
0.0000 0.0000 0.0000
0.5000 0.5000 0.3641
0.5000 0.5000 0.6359

Entry 3:
BaAg2OsCl8 | Alexandria via LeMat-Bulk | GGA-PBE | relaxed; crystal system = triclinic; total DFT energy (no corrections) = -3.71 eV per atom
1.0
5.9136 -1.6387 -0.0394
-1.7093 7.0707 0.1729
-0.1256 0.2494 8.5579
Ba Ag Os Cl
1 2 1 8
Direct
0.0000 0.0000 0.5000
0.5003 0.4849 0.7365
0.4997 0.5151 0.2635
0.0000 0.0000 0.0000
0.0591 0.7964 0.2039
0.5706 0.7755 0.0238
0.9887 0.2295 0.1794
0.9409 0.2036 0.7961
0.4294 0.2245 0.9762
0.0113 0.7705 0.8206
0.4306 0.7077 0.5179
0.5694 0.2923 0.4821

Entry 4:
Ba8AgP3Cl4 | Alexandria via LeMat-Bulk | GGA-PBE | relaxed; crystal system = trigonal; total DFT energy (no corrections) = -4.08 eV per atom
1.0
9.3612 0.0000 0.0000
0.0000 9.4021 0.0227
-4.6806 -4.6760 6.6242
Ba Ag P Cl
8 1 3 4
Direct
0.2499 0.7309 0.9809
0.2500 0.7310 0.5000
0.2583 0.2748 0.5166
0.7310 0.7309 0.9809
0.2690 0.2691 0.0191
0.7417 0.7252 0.4834
0.7500 0.2690 0.5000
0.7501 0.2691 0.0191
0.0000 0.5000 0.0000
0.5000 0.5000 0.0000
0.5000 0.5000 0.5000
0.0000 0.5000 0.5000
0.5000 0.0000 0.0000
0.5000 0.0000 0.5000
0.0000 0.0000 0.0000
0.0000 0.0000 0.5000

Entry 5:
BaAg2PbCl6 | Alexandria via LeMat-Bulk | GGA-PBE | relaxed; crystal system = trigonal; total DFT energy (no corrections) = -3.50 eV per atom
1.0
-6.2697 -2.3485 3.0040
5.8534 -4.4182 -0.1974
4.1178 5.2846 3.7603
Ba Ag Pb Cl
1 2 1 6
Direct
0.0172 0.5082 0.5111
0.5839 0.7913 0.3613
0.6039 0.3015 0.8913
0.9989 0.9990 0.9837
0.5340 0.9484 0.6812
0.4998 0.0743 0.1706
0.7600 0.6847 0.1703
0.1105 0.4243 0.1708
0.7471 0.5847 0.6811
0.1104 0.1612 0.6811

Entry 6:
BaAgPb2Cl8 | Alexandria via LeMat-Bulk | GGA-PBE | relaxed; crystal system = monoclinic; total DFT energy (no corrections) = -3.51 eV per atom
1.0
-5.8667 -3.4332 0.5615
2.6676 -4.8641 3.8249
-1.9925 4.5876 7.2215
Ba Ag Pb Cl
1 1 2 8
Direct
0.0000 0.0000 0.5000
0.0000 0.0000 0.0000
0.5000 0.5000 0.7656
0.5000 0.5000 0.2344
0.1763 0.7945 0.2088
0.6741 0.7056 0.0000
0.8237 0.2055 0.2088
0.8237 0.2055 0.7912
0.3259 0.2944 0.0000
0.1763 0.7945 0.7912
0.6751 0.7047 0.5000
0.3249 0.2953 0.5000

Entry 7:
BaAg2PdCl8 | Alexandria via LeMat-Bulk | GGA-PBE | relaxed; crystal system = triclinic; total DFT energy (no corrections) = -3.20 eV per atom
1.0
-4.6361 -1.5523 3.6286
3.6823 -3.1577 4.4156
1.5303 6.0102 6.0263
Ba Ag Pd Cl
1 2 1 8
Direct
0.0000 0.0000 0.5000
0.4417 0.4592 0.7437
0.5583 0.5408 0.2563
0.0000 0.0000 0.0000
0.1420 0.7574 0.2236
0.7076 0.7835 0.0095
0.7904 0.2023 0.1761
0.8580 0.2426 0.7764
0.2924 0.2165 0.9905
0.2096 0.7977 0.8239
0.6030 0.7275 0.5174
0.3970 0.2725 0.4826

Entry 8:
BaAgPdCl6 | Alexandria via LeMat-Bulk | GGA-PBE | relaxed; crystal system = monoclinic; total DFT energy (no corrections) = -3.40 eV per atom
1.0
7.1724 0.0014 0.1953
3.5880 5.7127 0.0971
0.1823 -0.0015 6.4544
Ba Ag Pd Cl
1 1 1 6
Direct
0.9946 0.0110 0.9999
0.6810 0.6378 0.5001
0.3321 0.3357 0.5000
0.0330 0.3574 0.2677
0.3542 0.0306 0.7109
0.6095 0.3574 0.7323
0.0330 0.6198 0.7126
0.3470 0.6199 0.2875
0.6154 0.0306 0.2888

Entry 9:
BaPmAg2Cl8 | Alexandria via LeMat-Bulk | GGA-PBE | relaxed; crystal system = tetragonal; total DFT energy (no corrections) = -3.78 eV per atom
1.0
6.9269 0.0000 0.0000
0.0000 6.9269 0.0000
-3.4635 -3.4635 7.0882
Ba Pm Ag Cl
1 1 2 8
Direct
0.7500 0.2500 0.5000
0.0000 0.0000 0.0000
0.5000 0.5000 0.0000
0.2500 0.7500 0.5000
0.7480 0.8547 0.1345
0.3865 0.2797 0.1345
0.6294 0.6905 0.6724
0.0430 0.9819 0.6724
0.0181 0.3706 0.3276
0.3095 0.9570 0.3276
0.1453 0.6135 0.8655
0.7203 0.2520 0.8655

Entry 10:
BaAgPtCl6 | Alexandria via LeMat-Bulk | GGA-PBE | relaxed; crystal system = monoclinic; total DFT energy (no corrections) = -3.48 eV per atom
1.0
7.2381 -0.0003 0.2228
3.6217 5.6662 0.1124
0.2065 -0.0024 6.4969
Ba Ag Pt Cl
1 1 1 6
Direct
0.9947 0.0108 0.9998
0.6857 0.6285 0.4999
0.3324 0.3351 0.5000
0.0348 0.3572 0.2598
0.3498 0.0330 0.7082
0.6077 0.3575 0.7403
0.0330 0.6224 0.7066
0.3442 0.6225 0.2936
0.6174 0.0331 0.2917

Entry 11:
BaAg2PtCl8 | Alexandria via LeMat-Bulk | GGA-PBE | relaxed; crystal system = trigonal; total DFT energy (no corrections) = -3.25 eV per atom
1.0
6.7737 0.0000 0.0000
-3.3868 5.8662 0.0000
0.0000 0.0000 7.8630
Ba Ag Pt Cl
1 2 1 8
Direct
0.0000 0.0000 0.5000
0.6667 0.3333 0.1094
0.3333 0.6667 0.8906
0.0000 0.0000 0.0000
0.8358 0.6716 0.8305
0.3284 0.1642 0.8305
0.8358 0.1642 0.8305
0.1642 0.3284 0.1695
0.6716 0.8358 0.1695
0.1642 0.8358 0.1695
0.6667 0.3333 0.4220
0.3333 0.6667 0.5780

Entry 12:
BaPuAg2Cl8 | Alexandria via LeMat-Bulk | GGA-PBE | relaxed; crystal system = triclinic; total DFT energy (no corrections) = -4.52 eV per atom
1.0
6.5425 -0.5369 0.0716
-0.5608 7.0118 1.0483
0.0649 1.4684 8.9351
Ba Pu Ag Cl
1 1 2 8
Direct
0.0000 0.0000 0.5000
0.0000 0.0000 0.0000
0.4993 0.3431 0.6980
0.5007 0.6569 0.3020
0.1084 0.7635 0.2679
0.6466 0.7665 0.0281
0.8645 0.2010 0.1650
0.8916 0.2365 0.7321
0.3534 0.2335 0.9719
0.1355 0.7990 0.8350
0.5736 0.7343 0.5570
0.4264 0.2657 0.4430

Which energy relative to the elements, uncorrected belongs to each record? In order, -186 -45 -88 -141 -121 -121 -87 -102 -146 -101 -85 -141 kJ per mole of atoms.